(1)
First-principles (GGA-PBEsol) data for crystalline LiB2Os at its relaxed geometry, as listed in Alexandria via LeMat-Bulk.

Properties
The calculated formation energy is 532.5 meV/atom. As for the crystal system: tetragonal.

Cell: 3.7812 3.7812 14.3688 Å, 90.00 90.00 90.00°
Space group I4_1/amd (No. 141, origin choice 2)
Inequivalent atoms, fractional coordinates:
Li  0.0000  0.2500  0.3750 [4 per cell]
B  0.0000  0.0000  0.0000 [8 per cell]
Os  0.0000  0.2500  0.8750 [4 per cell]


(2)
First-principles (GGA-PBEsol) data for crystalline SbAs4 at its relaxed geometry, as listed in Alexandria via LeMat-Bulk.

Properties
As for the crystal system: tetragonal. The uncorrected formation energy comes out at 0.26 eV per atom.

Cell: 5.0699 5.0699 8.4494 Å, 90.00 90.00 90.00°
Space group I4/mmm (No. 139)
Inequivalent atoms, fractional coordinates:
Sb  0.0000  0.0000  0.0000 [2 per cell]
As  0.0000  0.0000  0.3475 [4 per cell]
As  0.0000  0.5000  0.2500 [4 per cell]


(3)
First-principles (GGA-PBEsol) data for crystalline SrTl2Pb at its relaxed geometry, as listed in Alexandria via LeMat-Bulk.

Properties
The calculated formation energy is -319.5 meV/atom. As for the crystal system: tetragonal.

Cell: 5.0781 5.0781 9.1986 Å, 90.00 90.00 90.00°
Space group I4/mmm (No. 139)
Inequivalent atoms, fractional coordinates:
Sr  0.0000  0.0000  0.0000 [2 per cell]
Tl  0.0000  0.5000  0.2500 [4 per cell]
Pb  0.0000  0.0000  0.5000 [2 per cell]


(4)
First-principles (GGA-PBEsol) data for crystalline HfAl2ReSe at its relaxed geometry, as listed in Alexandria via LeMat-Bulk.

Properties
As for the crystal system: tetragonal. The uncorrected formation energy comes out at 1.63 eV per atom.

Cell: 5.1762 5.1762 4.8620 Å, 90.00 90.00 90.00°
Space group P4/mmm (No. 123)
Inequivalent atoms, fractional coordinates:
Hf  0.0000  0.0000  0.0000 [1 per cell]
Al  0.0000  0.5000  0.0000 [2 per cell]
Re  0.5000  0.5000  0.5000 [1 per cell]
Se  0.0000  0.0000  0.5000 [1 per cell]


(5)
First-principles (GGA-PBEsol) data for crystalline LiCoTc2 at its relaxed geometry, as listed in Alexandria via LeMat-Bulk.

Properties
The relative energy among the computed polymorphs comes out at 39 meV per atom. The calculated formation energy is 290.0 meV/atom. As for the crystal system: orthorhombic.

Cell: 2.5823 3.7883 5.0282 Å, 90.00 90.00 90.00°
Space group Pmm2 (No. 25)
Inequivalent atoms, fractional coordinates:
Li  0.0000  0.0000  0.0000 [1 per cell]
Co  0.5000  0.5000  0.7826 [1 per cell]
Tc  0.0000  0.0000  0.5152 [1 per cell]
Tc  0.5000  0.5000  0.2561 [1 per cell]


(6)
First-principles (GGA-PBEsol) data for crystalline GaSi3I at its relaxed geometry, as listed in Alexandria via LeMat-Bulk.

Properties
As for the crystal system: cubic. The uncorrected formation energy comes out at 0.92 eV per atom.

Cell: 4.8221 4.8221 4.8221 Å, 90.00 90.00 90.00°
Space group Pm-3m (No. 221)
Inequivalent atoms, fractional coordinates:
Ga  0.0000  0.0000  0.0000 [1 per cell]
Si  0.0000  0.0000  0.5000 [3 per cell]
I  0.5000  0.5000  0.5000 [1 per cell]


(7)
First-principles (GGA-PBEsol) data for crystalline InMoP2 at its relaxed geometry, as listed in Alexandria via LeMat-Bulk.

Properties
The calculated formation energy is -137.1 meV/atom. As for the crystal system: trigonal.

Cell: 3.2735 3.2735 22.4213 Å, 90.00 90.00 120.00°
Space group R-3m (No. 166, hexagonal axes)
Inequivalent atoms, fractional coordinates:
In  0.0000  0.0000  0.0000 [3 per cell]
Mo  0.0000  0.0000  0.5000 [3 per cell]
P  0.0000  0.0000  0.2360 [6 per cell]


(8)
First-principles (GGA-PBEsol) data for crystalline SrMgCr2Hg at its relaxed geometry, as listed in Alexandria via LeMat-Bulk.

Properties
The calculated formation energy is 1009.5 meV/atom. As for the crystal system: tetragonal.

Cell: 5.2213 5.2213 5.7725 Å, 90.00 90.00 90.00°
Space group P4/mmm (No. 123)
Inequivalent atoms, fractional coordinates:
Sr  0.0000  0.0000  0.0000 [1 per cell]
Mg  0.5000  0.5000  0.0000 [1 per cell]
Cr  0.0000  0.5000  0.5000 [2 per cell]
Hg  0.0000  0.0000  0.5000 [1 per cell]


(9)
First-principles (GGA-PBEsol) data for crystalline La3AlO6 at its relaxed geometry, as listed in Alexandria via LeMat-Bulk.

Properties
As for the crystal system: orthorhombic. The uncorrected formation energy comes out at -3.38 eV per atom.

Cell: 9.2940 11.6812 5.5950 Å, 90.00 90.00 90.00°
Space group Cmc2_1 (No. 36)
Inequivalent atoms, fractional coordinates:
La  0.0000  0.1062  0.0000 [4 per cell]
La  0.1926  0.3925  0.0363 [8 per cell]
Al  0.0000  0.3073  0.5767 [4 per cell]
O  0.0000  0.2871  0.2614 [4 per cell]
O  0.0000  0.4505  0.6910 [4 per cell]
O  0.1484  0.2414  0.7291 [8 per cell]
O  0.1587  0.0105  0.2716 [8 per cell]


(10)
First-principles (GGA-PBEsol) data for crystalline Zr3Br at its relaxed geometry, as listed in Alexandria via LeMat-Bulk.

Properties
The relative energy among the computed polymorphs comes out at 605 meV per atom. As for the crystal system: cubic. The uncorrected formation energy comes out at 0.29 eV per atom.

Cell: 6.9448 6.9448 6.9448 Å, 90.00 90.00 90.00°
Space group Fm-3m (No. 225)
Inequivalent atoms, fractional coordinates:
Zr  0.0000  0.0000  0.0000 [4 per cell]
Zr  0.2500  0.2500  0.2500 [8 per cell]
Br  0.0000  0.0000  0.5000 [4 per cell]


(11)
First-principles (GGA-PBEsol) data for crystalline ScSiTe2I at its relaxed geometry, as listed in Alexandria via LeMat-Bulk.

Properties
As for the crystal system: tetragonal. The uncorrected formation energy comes out at 0.11 eV per atom.

Cell: 5.2684 5.2684 5.1767 Å, 90.00 90.00 90.00°
Space group P4/mmm (No. 123)
Inequivalent atoms, fractional coordinates:
Sc  0.0000  0.0000  0.0000 [1 per cell]
Si  0.5000  0.5000  0.5000 [1 per cell]
Te  0.0000  0.5000  0.5000 [2 per cell]
I  0.5000  0.5000  0.0000 [1 per cell]


(12)
First-principles (GGA-PBEsol) data for crystalline LiTlAu2 at its relaxed geometry, as listed in Alexandria via LeMat-Bulk.

Properties
The calculated formation energy is -221.5 meV/atom. As for the crystal system: orthorhombic.

Cell: 3.1736 3.8068 5.9677 Å, 90.00 90.00 90.00°
Space group Pmm2 (No. 25)
Inequivalent atoms, fractional coordinates:
Li  0.0000  0.0000  0.0000 [1 per cell]
Tl  0.5000  0.5000  0.2827 [1 per cell]
Au  0.0000  0.0000  0.5542 [1 per cell]
Au  0.5000  0.5000  0.7985 [1 per cell]


(13)
First-principles (GGA-PBEsol) data for crystalline SrYTe2 at its relaxed geometry, as listed in Alexandria via LeMat-Bulk.

Properties
The relative energy among the computed polymorphs comes out at 1023 meV per atom. As for the crystal system: cubic. The uncorrected formation energy comes out at -0.52 eV per atom.

Cell: 7.7180 7.7180 7.7180 Å, 90.00 90.00 90.00°
Space group F-43m (No. 216)
Inequivalent atoms, fractional coordinates:
Sr  0.0000  0.0000  0.0000 [4 per cell]
Y  0.2500  0.2500  0.7500 [4 per cell]
Te  0.0000  0.0000  0.5000 [4 per cell]
Te  0.2500  0.2500  0.2500 [4 per cell]


(14)
First-principles (GGA-PBEsol) data for crystalline Zn2HgPdN at its relaxed geometry, as listed in Alexandria via LeMat-Bulk.

Properties
As for the crystal system: tetragonal. The uncorrected formation energy comes out at 1.37 eV per atom.

Cell: 5.0150 5.0150 3.8994 Å, 90.00 90.00 90.00°
Space group P4/mmm (No. 123)
Inequivalent atoms, fractional coordinates:
Zn  0.0000  0.5000  0.0000 [2 per cell]
Hg  0.0000  0.0000  0.0000 [1 per cell]
Pd  0.5000  0.5000  0.5000 [1 per cell]
N  0.0000  0.0000  0.5000 [1 per cell]


Number 1: raw total energy -104.3 eV/cell. Number 2: raw total energy -47.3 eV/cell. Number 3: raw total energy -24.8 eV/cell. Number 4: raw total energy -27.7 eV/cell. Number 5: raw total energy -31.1 eV/cell. Number 6: raw total energy -17.7 eV/cell. Number 7: raw total energy -80.6 eV/cell. Number 8: raw total energy -19.6 eV/cell. Number 9: raw total energy -341.8 eV/cell. Number 10: raw total energy -111.9 eV/cell. Number 11: raw total energy -20.6 eV/cell. Number 12: raw total energy -13.3 eV/cell. Number 13: raw total energy -71.1 eV/cell. Number 14: raw total energy -11.4 eV/cell.